First-principles (GGA-PBE) data for an optimized crystal structure of LaHgBi2O, as listed in Alexandria.

Summary:
Calculated density = 10.0 g/cm³
Total energy = -4.145 eV/atom
Space-group type = No. 123

abc: 4.890 4.890 5.382
angles: 90.00 90.00 90.00
Positions (direct):
1 La 0.000 0.000 0.000
2 Hg 0.500 0.500 0.000
3 Bi 0.000 0.500 0.500
4 Bi 0.500 0.000 0.500
5 O 0.500 0.500 0.500

=====

First-principles (GGA-PBE) data for an optimized crystal structure of LaHgBi2O4, as listed in Alexandria.

Summary:
Calculated density = 8.9 g/cm³
Total energy = -5.765 eV/atom
Space-group type = No. 123

abc: 4.119 4.119 9.017
angles: 90.00 90.00 90.00
Positions (direct):
1 La 0.000 0.000 0.000
2 Hg 0.000 0.000 0.500
3 Bi 0.500 0.500 0.277
4 Bi 0.500 0.500 0.723
5 O 0.000 0.500 0.165
6 O 0.000 0.500 0.835
7 O 0.500 0.000 0.165
8 O 0.500 0.000 0.835